P.
## MgP2PtO (PBE)

Data for a relaxed structure of MgP2PtO.

a = 4.8608 Å, b = 4.8608 Å, c = 3.5427 Å
α = 90.00°, β = 90.00°, γ = 90.00°
Space group P4/mmm (No. 123)
Unique sites:
1 Mg 0.0000 0.0000 0.0000 (multiplicity 1)
2 P 0.0000 0.5000 0.0000 (multiplicity 2)
3 Pt 0.5000 0.5000 0.5000 (multiplicity 1)
4 O 0.0000 0.0000 0.5000 (multiplicity 1)

Density of states at the Fermi level = 1.114 states/eV/atom
Spin magnetization = 0.036 μB per cell

Q.
## MgP2PtO (PBE)

Data for a relaxed structure of MgP2PtO.

a = 4.9239 Å, b = 4.9239 Å, c = 3.7826 Å
α = 90.00°, β = 90.00°, γ = 90.00°
Space group P4/mmm (No. 123)
Unique sites:
1 Mg 0.0000 0.0000 0.0000 (multiplicity 1)
2 P 0.0000 0.5000 0.5000 (multiplicity 2)
3 Pt 0.5000 0.5000 0.5000 (multiplicity 1)
4 O 0.5000 0.5000 0.0000 (multiplicity 1)

Density of states at the Fermi level = 0.783 states/eV/atom
Spin magnetization = 0.713 μB per cell

Top of the stability list: Q, leading by 283 meV/atom.

P.
## RbMgPO2 (PBE)

Data for a relaxed structure of RbMgPO2.

a = 4.2902 Å, b = 4.2902 Å, c = 5.8198 Å
α = 90.00°, β = 90.00°, γ = 90.00°
Space group P4/mmm (No. 123)
Unique sites:
1 Rb 0.0000 0.0000 0.0000 (multiplicity 1)
2 Mg 0.5000 0.5000 0.5000 (multiplicity 1)
3 P 0.0000 0.0000 0.5000 (multiplicity 1)
4 O 0.0000 0.5000 0.0000 (multiplicity 2)

Density of states at the Fermi level = 0.768 states/eV/atom
Spin magnetization = 0.703 μB per cell

Q.
## RbMgPO2 (PBE)

Data for a relaxed structure of RbMgPO2.

a = 4.3341 Å, b = 4.3341 Å, c = 5.2093 Å
α = 90.00°, β = 90.00°, γ = 90.00°
Space group P4/mmm (No. 123)
Unique sites:
1 Rb 0.0000 0.0000 0.0000 (multiplicity 1)
2 Mg 0.5000 0.5000 0.5000 (multiplicity 1)
3 P 0.5000 0.5000 0.0000 (multiplicity 1)
4 O 0.0000 0.5000 0.5000 (multiplicity 2)

Density of states at the Fermi level = 0.257 states/eV/atom
Spin magnetization = 4.016 μB per cell

Top of the stability list: Q, leading by 1194 meV/atom.

P.
## RbMgPO4 (PBE)

Data for a relaxed structure of RbMgPO4.

a = 8.9741 Å, b = 9.5202 Å, c = 5.4553 Å
α = 90.00°, β = 90.00°, γ = 90.00°
Space group Pna2_1 (No. 33)
Unique sites:
1 Rb 0.0040 0.2046 0.0000 (multiplicity 4)
2 Mg 0.1824 0.5792 0.0243 (multiplicity 4)
3 P 0.2036 0.4130 0.5257 (multiplicity 4)
4 O 0.0318 0.4128 0.5241 (multiplicity 4)
5 O 0.2371 0.0282 0.2037 (multiplicity 4)
6 O 0.2366 0.9437 0.7631 (multiplicity 4)
7 O 0.2412 0.7679 0.1175 (multiplicity 4)

Density of states at the Fermi level = 0.000 states/eV/atom
Spin magnetization = 0.000 μB per cell

Q.
## RbMgPO4 (PBE)

Data for a relaxed structure of RbMgPO4.

a = 5.3386 Å, b = 5.6065 Å, c = 8.1132 Å
α = 90.00°, β = 90.21°, γ = 90.00°
Space group P2_1/m (No. 11)
Unique sites:
1 Rb 0.2333 0.2500 0.4746 (multiplicity 2)
2 Mg 0.1413 0.2500 0.9830 (multiplicity 2)
3 P 0.2934 0.7500 0.2115 (multiplicity 2)
4 O 0.1457 0.5321 0.1358 (multiplicity 4)
5 O 0.2684 0.7500 0.3997 (multiplicity 2)
6 O 0.4299 0.2500 0.8389 (multiplicity 2)

Density of states at the Fermi level = 0.000 states/eV/atom
Spin magnetization = 0.000 μB per cell

Top of the stability list: P, leading by 24 meV/atom.